Material: Sc2Tl3AgTe6
Method: DFT, GGA-PBE
State: relaxed

Summary:
Calculated total energy   -4.0658 eV per atom
Density   7.0 Mg/m³
V   374 Å³/cell
Symmetry   C2/m

Cell lengths 7.499, 7.499, 8.055 Å; angles 98.70, 98.70, 120.09 degrees
Fractional coordinates of all 12 atoms:
Te  0.407  0.068  0.208
Te  0.068  0.407  0.208
Te  0.932  0.593  0.792
Sc  0.333  0.667  0.000
Sc  0.667  0.333  0.000
Te  0.731  0.731  0.211
Tl  0.828  0.172  0.500
Te  0.593  0.932  0.792
Te  0.269  0.269  0.789
Ag  0.000  0.000  0.000
Tl  0.500  0.500  0.500
Tl  0.172  0.828  0.500

***

Material: CsMnAg2Cl6
Method: DFT, GGA-PBE
State: relaxed

Summary:
Calculated total energy   -3.6595 eV per atom
Density   3.2 Mg/m³
V   318 Å³/cell
Symmetry   P-1

Cell lengths 7.406, 6.992, 9.127 Å; angles 62.15, 56.84, 55.53 degrees
Fractional coordinates of all 10 atoms:
Cs  0.816  0.816  0.552
Mn  0.316  0.316  0.051
Cl  0.310  0.946  0.203
Cl  0.322  0.687  0.900
Ag  0.681  0.575  0.118
Ag  0.951  0.057  0.986
Cl  0.958  0.474  0.275
Cl  0.674  0.158  0.828
Cl  0.085  0.400  0.860
Cl  0.547  0.232  0.243

***

Material: ZrReGeBr2
Method: DFT, GGA-PBE
State: relaxed

Summary:
Calculated total energy   -4.9114 eV per atom
Density   6.0 Mg/m³
V   142 Å³/cell
Symmetry   P4/mmm

Cell lengths 5.234, 5.191, 5.234 Å; angles 90.00, 90.00, 90.00 degrees
Fractional coordinates of all 5 atoms:
Br  0.500  0.000  0.000
Br  0.000  0.000  0.500
Re  0.000  0.500  0.000
Ge  0.500  0.500  0.500
Zr  0.000  0.000  0.000

***

Material: YSeBr
Method: DFT, GGA-PBE
State: relaxed

Summary:
Calculated total energy   -5.5534 eV per atom
Density   4.9 Mg/m³
V   84 Å³/cell
Symmetry   F-43m

Cell lengths 4.920, 4.920, 4.920 Å; angles 60.00, 60.00, 60.00 degrees
Fractional coordinates of all 3 atoms:
Y  0.250  0.250  0.250
Br  0.000  0.000  0.000
Se  0.500  0.500  0.500

***

Material: CaAl2Ni
Method: DFT, GGA-PBE
State: relaxed

Summary:
E_form   -0.117 eV/atom
Density   3.8 Mg/m³
V   68 Å³/cell
Symmetry   Fm-3m

Cell lengths 4.573, 4.573, 4.573 Å; angles 60.00, 60.00, 60.00 degrees
Fractional coordinates of all 4 atoms:
Al  0.250  0.250  0.250
Al  0.750  0.750  0.750
Ca  0.000  0.000  0.000
Ni  0.500  0.500  0.500

***

Material: CeCdGa
Method: DFT, GGA-PBE
State: relaxed

Summary:
E_form   -0.018 eV/atom
Density   6.5 Mg/m³
V   82 Å³/cell
Symmetry   Pmmm

Cell lengths 3.566, 4.464, 5.136 Å; angles 90.00, 90.00, 90.00 degrees
Fractional coordinates of all 3 atoms:
Ce  0.000  0.000  0.000
Cd  0.000  0.500  0.500
Ga  0.500  0.000  0.500

***

Material: Sc4In3Fe
Method: DFT, GGA-PBE
State: relaxed

Summary:
E_form   -0.374 eV/atom
Density   5.8 Mg/m³
V   166 Å³/cell
Symmetry   P4/mmm

Cell lengths 3.188, 3.188, 16.311 Å; angles 90.00, 90.00, 90.00 degrees
Fractional coordinates of all 8 atoms:
In  0.500  0.500  0.769
Sc  0.000  0.000  0.635
Sc  0.000  0.000  0.365
Fe  0.500  0.500  0.000
In  0.500  0.500  0.500
Sc  0.000  0.000  0.909
In  0.500  0.500  0.231
Sc  0.000  0.000  0.091

***

Material: K2BeAl
Method: DFT, GGA-PBE
State: relaxed

Summary:
E_form   0.446 eV/atom
Density   1.0 Mg/m³
Relative energy among the computed polymorphs   48 meV per atom
V   364 Å³/cell
Symmetry   I-42d

Cell lengths 12.740, 12.740, 9.284 Å; angles 46.68, 46.68, 90.00 degrees
Fractional coordinates of all 8 atoms:
K  0.875  0.673  0.750
Al  0.000  0.000  0.000
Be  0.500  0.500  0.000
Be  0.250  0.750  0.500
K  0.327  0.625  0.250
K  0.375  0.577  0.750
K  0.423  0.125  0.250
Al  0.750  0.250  0.500

***

Material: Hf2ZnPb2
Method: DFT, GGA-PBE
State: relaxed

Summary:
E_form   0.558 eV/atom
Density   10.6 Mg/m³
Relative energy among the computed polymorphs   438 meV per atom
V   131 Å³/cell
Symmetry   I4/mmm

Cell lengths 4.045, 4.045, 8.493 Å; angles 76.22, 76.22, 90.00 degrees
Fractional coordinates of all 5 atoms:
Hf  0.750  0.250  0.500
Pb  0.402  0.402  0.195
Hf  0.250  0.750  0.500
Zn  0.000  0.000  0.000
Pb  0.598  0.598  0.805

***

Material: B3WCl
Method: DFT, GGA-PBE
State: relaxed

Summary:
Density   7.6 Mg/m³
Relative energy among the computed polymorphs   581 meV per atom
V   55 Å³/cell
Symmetry   Pm-3m

Cell lengths 3.799, 3.799, 3.799 Å; angles 90.00, 90.00, 90.00 degrees
Fractional coordinates of all 5 atoms:
B  0.000  0.500  0.000
B  0.000  0.000  0.500
W  0.500  0.500  0.500
Cl  0.000  0.000  0.000
B  0.500  0.000  0.000

***

Material: NdTmAlCu
Method: DFT, GGA-PBE
State: relaxed

Summary:
E_form   -0.245 eV/atom
Density   7.2 Mg/m³
V   94 Å³/cell
Symmetry   F-43m

Cell lengths 5.098, 5.098, 5.098 Å; angles 60.00, 60.00, 60.00 degrees
Fractional coordinates of all 4 atoms:
Tm  0.000  0.000  0.000
Nd  0.500  0.500  0.500
Al  0.750  0.750  0.750
Cu  0.250  0.250  0.250

***

Material: TiGaP2Cl
Method: DFT, GGA-PBE
State: relaxed

Summary:
Density   3.6 Mg/m³
Relative energy among the computed polymorphs   1119 meV per atom
V   99 Å³/cell
Symmetry   P4/mmm

Cell lengths 4.552, 4.763, 4.552 Å; angles 90.00, 90.00, 90.00 degrees
Fractional coordinates of all 5 atoms:
P  0.500  0.000  0.000
Ga  0.000  0.500  0.000
Cl  0.000  0.000  0.000
P  0.000  0.000  0.500
Ti  0.500  0.500  0.500